No. 1
## Si2Pt (PBE)

Data for Si2Pt after structural relaxation.

```
data_Si2Pt
_cell_length_a 11.516
_cell_length_b 3.660
_cell_length_c 5.379
_cell_angle_alpha 90.00
_cell_angle_beta 112.39
_cell_angle_gamma 90.00
_symmetry_space_group_name_H-M 'C 1 2/m 1'
_symmetry_Int_Tables_number 12
_symmetry_space_group_name_Hall '-C 2y'
loop_
_atom_site_label
_atom_site_fract_x
_atom_site_fract_y
_atom_site_fract_z
Si1 0.074 0.000 0.369
Si2 0.168 0.000 0.046
Pt1 0.107 0.500 0.722
```

Properties
Density of states at the Fermi level   0.87 states/eV/f.u.
Uncorrected formation energy   -298.4 meV/atom
Crystal system   monoclinic
Volume   52.4 Å³/f.u.
Total magnetic moment   0.000 μB per cell


No. 2
## LaPb3W (PBE)

Data for LaPb3W after structural relaxation.

```
data_LaPb3W
_cell_length_a 5.958
_cell_length_b 5.958
_cell_length_c 5.958
_cell_angle_alpha 90.00
_cell_angle_beta 90.00
_cell_angle_gamma 90.00
_symmetry_space_group_name_H-M 'P m -3 m'
_symmetry_Int_Tables_number 221
_symmetry_space_group_name_Hall '-P 4 2 3'
loop_
_atom_site_label
_atom_site_fract_x
_atom_site_fract_y
_atom_site_fract_z
La1 0.000 0.000 0.000
Pb1 0.000 0.000 0.500
W1 0.500 0.500 0.500
```

Properties
Density of states at the Fermi level   9.26 states/eV/f.u.
Excess energy over the best structure of this formula in the dataset   1.6246 eV/atom
Calculated formation energy   2.0902 eV per atom
Crystal system   cubic
Volume   211.5 Å³/f.u.
Total magnetic moment   0.886 μB per cell


No. 3
## LiScTc2 (PBE)

Data for LiScTc2 after structural relaxation.

```
data_LiScTc2
_cell_length_a 3.692
_cell_length_b 3.692
_cell_length_c 19.105
_cell_angle_alpha 90.00
_cell_angle_beta 90.00
_cell_angle_gamma 90.00
_symmetry_space_group_name_H-M 'I -4 2 d'
_symmetry_Int_Tables_number 122
_symmetry_space_group_name_Hall 'I -4 2bw'
loop_
_atom_site_label
_atom_site_fract_x
_atom_site_fract_y
_atom_site_fract_z
Li1 0.000 0.000 0.000
Sc1 0.000 0.000 0.500
Tc1 0.247 0.250 0.125
```

Properties
Density of states at the Fermi level   2.90 states/eV/f.u.
Excess energy over the best structure of this formula in the dataset   0.4569 eV/atom
Calculated formation energy   0.4160 eV per atom
Crystal system   tetragonal
Volume   65.1 Å³/f.u.
Total magnetic moment   0.000 μB per cell


No. 4
## TbSc2 (PBE)

Data for TbSc2 after structural relaxation.

```
data_TbSc2
_cell_length_a 6.707
_cell_length_b 4.763
_cell_length_c 10.057
_cell_angle_alpha 90.00
_cell_angle_beta 90.00
_cell_angle_gamma 90.00
_symmetry_space_group_name_H-M 'P n m a'
_symmetry_Int_Tables_number 62
_symmetry_space_group_name_Hall '-P 2ac 2n'
loop_
_atom_site_label
_atom_site_fract_x
_atom_site_fract_y
_atom_site_fract_z
Tb1 0.128 0.250 0.086
Sc1 0.122 0.250 0.747
Sc2 0.125 0.250 0.417
```

Properties
Density of states at the Fermi level   4.65 states/eV/f.u.
Excess energy over the best structure of this formula in the dataset   0.0264 eV/atom
Calculated formation energy   0.0539 eV per atom
Crystal system   orthorhombic
Volume   80.3 Å³/f.u.
Total magnetic moment   0.000 μB per cell